# AlCo2NiO4

Crystalline AlCo2NiO4 at its relaxed geometry (GGA+U, Alexandria via LeMat-Bulk).

Structure (POSCAR):
```
AlCo2NiO4
1.0
4.6705 0.1871 0.0000
-0.2009 4.6699 0.0000
-2.2348 -2.4285 4.2765
Co O Ni Al
2 4 1 1
direct
0.2498 0.7498 0.4996
0.7498 0.2498 0.4996
0.3981 0.8383 0.2364
0.6020 0.6020 0.7617
0.8383 0.3981 0.2364
0.1597 0.1597 0.7617
0.0031 0.0031 0.0063
0.4995 0.4995 0.9989
```

Calculated values
VASP energy, eV per cell: -47.9
M_tot, μB/f.u.: 7.009
Space group: Fmm2 (42)
Crystal system: orthorhombic